A relaxed structure of SmYScCd, computed with PBE.

CIF file:
```
data_SmYScCd
_chemical_formula_sum 'Sm1 Y1 Sc1 Cd1'
_symmetry_space_group_name_H-M 'P 4 m m'
_symmetry_Int_Tables_number 99
_symmetry_space_group_name_Hall 'P 4 -2'
_cell_length_a 3.5401
_cell_length_b 3.5401
_cell_length_c 8.8244
_cell_angle_alpha 90.00
_cell_angle_beta 90.00
_cell_angle_gamma 90.00
loop_
_atom_site_label
_atom_site_fract_x
_atom_site_fract_y
_atom_site_fract_z
_atom_site_occupancy
Sm1 0.0000 0.0000 0.0000 1
Y1 0.5000 0.5000 0.7059 1
Sc1 0.5000 0.5000 0.2657 1
Cd1 0.0000 0.0000 0.4650 1
```

Computed properties:
Formation enthalpy at 0 K   -0.1335 eV/atom